Computed, not measured: a relaxed Pm2InCoO6 crystal at the GGA+U level of DFT.

a b c (Å): 5.4798 5.7467 7.8783
angles (deg): 90.00 90.71 90.00
With the nearest neighbours (Å) after each atom.
Fractional positions:
O (0.1829, 0.2135, 0.0590)  1 Co 1.98, 1 In 2.18
O (0.7107, 0.3118, 0.9468)  1 Co 1.96, 1 In 2.18
O (0.6072, 0.0372, 0.2647)  1 Co 1.96, 1 In 2.17
O (0.2893, 0.6882, 0.0532)  1 Co 1.96, 1 In 2.18
Pm (0.0190, 0.9370, 0.2500)  6 O 2.33-2.59
O (0.7893, 0.8118, 0.5532)  1 Co 1.96, 1 In 2.18
In (0.0000, 0.5000, 0.5000)  6 O 2.17-2.18
O (0.3928, 0.9628, 0.7353)  1 Co 1.96, 1 In 2.17
In (0.5000, 0.0000, 0.0000)  6 O 2.17-2.18
O (0.6829, 0.2865, 0.5590)  1 Co 1.98, 1 In 2.18
O (0.1072, 0.4628, 0.7647)  1 Co 1.96, 1 In 2.17
Co (0.5000, 0.0000, 0.5000)  6 O 1.96-1.98
O (0.8928, 0.5372, 0.2353)  1 Co 1.96, 1 In 2.17
Pm (0.5190, 0.5630, 0.7500)  6 O 2.33-2.59
O (0.2107, 0.1882, 0.4468)  1 Co 1.96, 1 In 2.18
O (0.3171, 0.7135, 0.4410)  1 Co 1.98, 1 In 2.18
O (0.8171, 0.7865, 0.9410)  1 Co 1.98, 1 In 2.18
Co (0.0000, 0.5000, 0.0000)  6 O 1.96-1.98
Pm (0.4810, 0.4370, 0.2500)  6 O 2.33-2.59
Pm (0.9810, 0.0630, 0.7500)  6 O 2.33-2.59

## Properties
Electronic total energy, eV/cell: -140.304